NaScS2 | PBE | relaxed

Values from the calculation:
Total DFT energy (no corrections) = -5.461 eV/atom
Raw formation energy = -1.4849 eV/atom
Size of the total moment = 0.00 μB/cell

Structure (CIF):
```
data_NaScS2
_chemical_formula_sum 'Na4 Sc4 S8'
_space_group_name_H-M_alt 'I 4/m c m'
_space_group_IT_number 140
_space_group_name_Hall '-I 4 2c'
_cell_length_a 7.3128
_cell_length_b 7.3128
_cell_length_c 6.7000
_cell_angle_alpha 90.00
_cell_angle_beta 90.00
_cell_angle_gamma 90.00
loop_
_atom_site_label
_atom_site_fract_x
_atom_site_fract_y
_atom_site_fract_z
_atom_site_occupancy
Na1 0.0000 0.0000 0.2500 1
Sc1 0.0000 0.5000 0.2500 1
S1 0.1757 0.3243 0.0000 1
```